[1]
NaNi4P2: optimized geometry, GGA-PBE.

Computed properties:
total DFT energy (no corrections): -5.495 eV/atom
total magnetic moment: 0.00 μB per formula unit
theoretical density: 6.0 Mg/m³
density of states at the Fermi level: 8.7 states/eV per cell

Lattice parameters (Å, degrees): 7.100 7.100 3.509 90.00 90.00 90.00
Space group P4_2/mnm (No. 136)
Unique sites:
Na  0.000  0.000  0.000 x2
Ni  0.079  0.332  0.500 x8
P  0.228  0.772  0.500 x4



[2]
Zn3Ag5: optimized geometry, GGA-PBE.

Computed properties:
polymorph energy (0 for the lowest one): 3.8 kJ/mol of atoms
total magnetic moment: 0.00 μB per formula unit
theoretical density: 9.0 Mg/m³
density of states at the Fermi level: 2.9 states/eV per cell

Lattice parameters (Å, degrees): 7.6768 7.6768 5.3474 90.00 90.00 120.00
Space group P6_3/mcm (No. 193)
Unique sites:
Zn  0.0000  0.4037  0.2500 x6
Ag  0.0000  0.2283  0.7500 x6
Ag  0.3333  0.6667  0.0000 x4



[3]
BeInGe2: optimized geometry, GGA-PBE.

Computed properties:
polymorph energy (0 for the lowest one): 27.8 kJ/mol of atoms
total magnetic moment: 0.00 μB per formula unit
theoretical density: 5.9 Mg/m³
density of states at the Fermi level: 6.3 states/eV per cell

Lattice parameters (Å, degrees): 6.716 6.716 6.716 90.00 90.00 90.00
Space group Fm-3m (No. 225)
Unique sites:
Be  0.000  0.000  0.000 x4
In  0.000  0.000  0.500 x4
Ge  0.250  0.250  0.250 x8



[4]
Pu2SbSe: optimized geometry, GGA-PBE.

Computed properties:
uncorrected formation energy: -1.0682 eV per atom
polymorph energy (0 for the lowest one): 0.0 kJ/mol of atoms
total magnetic moment: 10.95 μB per formula unit
theoretical density: 10.2 Mg/m³
density of states at the Fermi level: 64.9 states/eV per cell

Lattice parameters (Å, degrees): 4.3143 4.3143 20.8831 90.00 90.00 120.00
Space group R-3m (No. 166, hexagonal axes)
Unique sites:
Pu  0.0000  0.0000  0.2443 x6
Sb  0.0000  0.0000  0.0000 x3
Se  0.0000  0.0000  0.5000 x3



[5]
Pm2PrHo8: optimized geometry, GGA-PBE.

Computed properties:
polymorph energy (0 for the lowest one): 3.7 kJ/mol of atoms
total magnetic moment: 0.00 μB per formula unit
theoretical density: 7.9 Mg/m³
density of states at the Fermi level: 35.6 states/eV per cell

Lattice parameters (Å, degrees): 19.046 6.998 5.545 90.00 92.87 90.00
Space group C2/m (No. 12)
Unique sites:
Pm  0.215  0.000  0.251 x4
Pr  0.000  0.500  0.000 x2
Ho  0.046  0.000  0.238 x4
Ho  0.132  0.233  0.732 x8
Ho  0.187  0.500  0.233 x4



[6]
LaMgNiGe2: optimized geometry, GGA-PBE.

Computed properties:
total DFT energy (no corrections): -4.798 eV/atom
total magnetic moment: 0.00 μB per formula unit
theoretical density: 6.0 Mg/m³
density of states at the Fermi level: 4.5 states/eV per cell

Lattice parameters (Å, degrees): 5.216 6.372 6.077 90.00 90.00 90.00
Space group Pmma (No. 51)
Unique sites:
La  0.250  0.000  0.237 x2
Mg  0.250  0.500  0.366 x2
Ni  0.000  0.500  0.000 x2
Ge  0.250  0.275  0.760 x4



[7]
CeTm2Ga3: optimized geometry, GGA-PBE.

Computed properties:
total DFT energy (no corrections): -4.534 eV/atom
total magnetic moment: 0.58 μB per formula unit
theoretical density: 8.4 Mg/m³
density of states at the Fermi level: 6.5 states/eV per cell

Lattice parameters (Å, degrees): 3.495 3.495 11.056 90.00 90.00 90.00
Space group P4/mmm (No. 123)
Unique sites:
Ce  0.000  0.000  0.000 x1
Tm  0.000  0.000  0.339 x2
Ga  0.500  0.500  0.179 x2
Ga  0.500  0.500  0.500 x1



[8]
La5TlAu: optimized geometry, GGA-PBE.

Computed properties:
total DFT energy (no corrections): -4.584 eV/atom
total magnetic moment: 0.00 μB per formula unit
theoretical density: 8.0 Mg/m³
density of states at the Fermi level: 38.4 states/eV per cell

Lattice parameters (Å, degrees): 9.029 8.464 12.306 90.00 104.79 90.00
Space group C2/c (No. 15)
Unique sites:
La  0.000  0.002  0.250 x4
La  0.132  0.358  0.558 x8
La  0.235  0.312  0.863 x8
Tl  0.000  0.393  0.250 x4
Au  0.000  0.000  0.000 x4



[9]
SmCdGa2Pd5: optimized geometry, GGA-PBE.

Computed properties:
total DFT energy (no corrections): -4.765 eV/atom
total magnetic moment: 0.00 μB per formula unit
theoretical density: 9.5 Mg/m³
density of states at the Fermi level: 2.6 states/eV per cell

Lattice parameters (Å, degrees): 4.185 4.185 9.339 90.00 90.00 90.00
Space group P4/mmm (No. 123)
Unique sites:
Sm  0.000  0.000  0.000 x1
Cd  0.000  0.000  0.500 x1
Ga  0.500  0.500  0.369 x2
Pd  0.000  0.500  0.226 x4
Pd  0.500  0.500  0.000 x1



[10]
NaLiErIn: optimized geometry, GGA-PBE.

Computed properties:
total DFT energy (no corrections): -2.708 eV/atom
total magnetic moment: 0.00 μB per formula unit
theoretical density: 5.2 Mg/m³
density of states at the Fermi level: 14.6 states/eV per cell

Lattice parameters (Å, degrees): 7.365 7.365 7.365 90.00 90.00 90.00
Space group F-43m (No. 216)
Unique sites:
Na  0.000  0.000  0.000 x4
Li  0.250  0.250  0.750 x4
Er  0.000  0.000  0.500 x4
In  0.250  0.250  0.250 x4



[11]
Pu4CuPd3: optimized geometry, GGA-PBE.

Computed properties:
polymorph energy (0 for the lowest one): 0.0 kJ/mol of atoms
total magnetic moment: 11.62 μB per formula unit
theoretical density: 12.4 Mg/m³
density of states at the Fermi level: 45.7 states/eV per cell

Lattice parameters (Å, degrees): 3.840 4.377 10.845 90.00 90.00 90.00
Space group Pmm2 (No. 25)
Unique sites:
Pu  0.000  0.000  0.000 x1
Pu  0.000  0.500  0.283 x1
Pu  0.500  0.000  0.488 x1
Pu  0.500  0.500  0.777 x1
Cu  0.500  0.000  0.210 x1
Pd  0.000  0.000  0.723 x1
Pd  0.000  0.500  0.555 x1
Pd  0.500  0.500  0.058 x1



[12]
Sc2MoAuSe: optimized geometry, GGA-PBE.

Computed properties:
uncorrected formation energy: 0.1181 eV per atom
total magnetic moment: 0.00 μB per formula unit
theoretical density: 6.2 Mg/m³
density of states at the Fermi level: 2.3 states/eV per cell

Lattice parameters (Å, degrees): 5.137 5.137 4.672 90.00 90.00 90.00
Space group P4/mmm (No. 123)
Unique sites:
Sc  0.000  0.500  0.000 x2
Mo  0.000  0.000  0.000 x1
Au  0.500  0.500  0.500 x1
Se  0.000  0.000  0.500 x1